3
Lattice="4.381 -0.185 3.370 -0.487 -2.200 5.050 2.403 -4.847 1.148" Properties=species:S:1:pos:R:3 comment="PBE CsBaPt, optimized geometry" energy_ev_per_cell=-9.5 sg=F-43m pbc="T T T"
Pt 0.000 0.000 0.000
Cs 4.722 -5.424 7.177
Ba 1.574 -1.808 2.392

9
Lattice="-2.340 -0.162 3.960 2.377 -3.676 -1.421 6.783 2.794 4.122" Properties=species:S:1:pos:R:3 comment="PBE HfNbCu, optimized geometry" e_above_lowest_polymorph_ev_per_atom=0.000 delta_e_f_ev_per_atom=0.107 sg=P-6m2 pbc="T T T"
Cu 0.000 0.000 0.000
Cu 1.630 -0.346 3.623
Cu 3.619 0.473 4.832
Nb 1.888 -2.059 1.031
Nb 6.505 -0.157 3.837
Nb 4.196 -1.108 2.434
Hf -0.767 -1.333 2.166
Hf 2.127 0.876 1.293
Hf 4.656 1.918 2.830

4
Lattice="0.000 3.325 3.325 3.325 0.000 3.325 3.325 3.325 0.000" Properties=species:S:1:pos:R:3 comment="PBE LuReNiSb, optimized geometry" energy_ev_per_cell=-24.6 sg=F-43m pbc="T T T"
Ni 4.987 4.987 4.987
Lu 1.662 1.662 1.662
Re 3.325 3.325 3.325
Sb 0.000 0.000 0.000

3
Lattice="4.051 -3.436 -0.665 -0.956 -5.264 -0.173 0.519 -2.665 -4.614" Properties=species:S:1:pos:R:3 comment="PBE DyYPu, optimized geometry" delta_e_f_ev_per_atom=0.859 sg=F-43m pbc="T T T"
Dy 1.807 -5.683 -2.726
Y 0.904 -2.841 -1.363
Pu 0.000 0.000 0.000

4
Lattice="0.000 3.385 3.385 3.385 0.000 3.385 3.385 3.385 0.000" Properties=species:S:1:pos:R:3 comment="PBE NaHgAsPt, optimized geometry" e_above_lowest_polymorph_ev_per_atom=0.205 sg=F-43m pbc="T T T"
As 0.000 0.000 0.000
Pt 3.385 3.385 3.385
Na 5.077 5.077 5.077
Hg 1.692 1.692 1.692

5
Lattice="-2.255 2.255 4.943 2.255 -2.255 4.943 2.255 2.255 -4.943" Properties=species:S:1:pos:R:3 comment="PBE NaAs2Pd2, optimized geometry" e_above_lowest_polymorph_ev_per_atom=0.140 sg=I4/mmm pbc="T T T"
As 0.000 2.255 2.472
As 2.255 0.000 2.472
Pd 0.000 0.000 6.306
Pd 0.000 0.000 3.580
Na 0.000 0.000 0.000

9
Lattice="5.850 0.000 0.000 -2.925 5.066 0.000 0.000 0.000 7.801" Properties=species:S:1:pos:R:3 comment="PBE KTa3Se5, optimized geometry" energy_ev_per_cell=-60.1 sg=P6/mmm pbc="T T T"
Se 2.925 1.689 1.868
Se 0.000 3.377 1.868
Se 0.000 0.000 3.901
Se 2.925 1.689 5.933
Se 0.000 3.377 5.933
Ta 1.462 2.533 3.901
Ta 2.925 0.000 3.901
Ta -1.462 2.533 3.901
K 0.000 0.000 0.000

9
Lattice="4.032 0.000 0.000 0.000 6.348 3.646 0.000 -6.348 3.646" Properties=species:S:1:pos:R:3 comment="PBE SmTm2Mg3Ir2Pt, optimized geometry" energy_ev_per_cell=-49.1 sg=Amm2 pbc="T T T"
Mg 2.016 4.768 4.542
Mg 2.016 -4.768 4.542
Mg 2.016 0.000 5.489
Tm 0.000 2.610 5.790
Tm 0.000 -2.610 5.790
Ir 2.016 2.167 3.656
Ir 2.016 -2.167 3.656
Sm 0.000 0.000 3.032
Pt 0.000 0.000 7.251

3
Lattice="0.000 3.403 3.403 3.403 0.000 3.403 3.403 3.403 0.000" Properties=species:S:1:pos:R:3 comment="PBE LiErMg, optimized geometry" e_above_lowest_polymorph_ev_per_atom=0.000 sg=F-43m pbc="T T T"
Li 5.105 5.105 5.105
Er 0.000 0.000 0.000
Mg 3.403 3.403 3.403

3
Lattice="-4.236 -3.841 0.178 -2.414 -1.367 5.004 -5.344 1.686 1.153" Properties=species:S:1:pos:R:3 comment="PBE RbYHf, optimized geometry" e_above_lowest_polymorph_ev_per_atom=0.000 sg=F-43m pbc="T T T"
Y -8.995 -2.641 4.751
Rb -2.998 -0.880 1.584
Hf 0.000 0.000 0.000

10
Lattice="-4.238 -4.321 -7.228 3.125 0.473 8.882 -5.675 2.443 1.867" Properties=species:S:1:pos:R:3 comment="PBE Ho2ZnSb2, optimized geometry" energy_ev_per_cell=-44.2 sg=Cmc2_1 pbc="T T T"
Ho -8.601 -2.377 -5.641
Ho 1.479 1.117 9.271
Ho -3.976 1.905 7.434
Ho -5.495 -2.154 -3.031
Sb -0.901 0.824 6.989
Sb -1.301 -2.313 -0.580
Sb -8.546 -1.084 -2.595
Sb -2.826 -0.237 3.225
Zn -4.492 -0.946 0.454
Zn -0.330 -1.305 2.420

12
Lattice="8.491 0.000 0.000 0.000 3.955 0.000 -2.760 0.000 8.972" Properties=species:S:1:pos:R:3 comment="PBE KLuPdS3, optimized geometry" e_above_lowest_polymorph_ev_per_atom=0.000 sg=P2_1/m pbc="T T T"
K 0.412 0.989 6.905
K 5.319 2.966 2.068
S 2.858 0.989 1.329
S 2.873 2.966 7.643
S 4.628 0.989 4.934
S 1.103 2.966 4.038
S -1.956 2.966 7.613
S 7.687 0.989 1.360
Pd 3.449 2.966 5.234
Pd 2.282 0.989 3.738
Lu 4.702 0.989 7.700
Lu 1.029 2.966 1.273